The following is a DFT calculation (PBE) of a relaxed structure of Ag3PbI6.

a = 9.2059 Å, b = 9.2059 Å, c = 4.6819 Å
α = 90.00°, β = 90.00°, γ = 108.51°
Last column: nearest neighbours and their distance in Å.
Fractional positions:
1 Ag 0.0000 0.0000 0.0000  4 I 2.82
2 Ag 0.0000 0.5000 0.5000  6 I 3.04
3 Ag 0.5000 0.0000 0.5000  6 I 3.04
4 Pb 0.5000 0.5000 0.0000  4 I 3.29
5 I 0.0668 0.3206 0.0000  3 Ag 2.82-3.04
6 I 0.3206 0.0668 0.0000  3 Ag 2.82-3.04
7 I 0.3455 0.6545 0.5000  2 Ag 3.04, 2 Pb 3.29
8 I 0.6545 0.3455 0.5000  2 Ag 3.04, 2 Pb 3.29
9 I 0.6794 0.9332 0.0000  3 Ag 2.82-3.04
10 I 0.9332 0.6794 0.0000  3 Ag 2.82-3.04

Values from the calculation:
Fermi-level density of states, states/eV per atom: 0.38
Crystal system: orthorhombic
Size of the total moment, μB/cell: 0.00
Uncorrected formation energy, eV/f.u.: -2.46
Volume, Å³/cell: 376

***

The following is a DFT calculation (PBE) of a relaxed structure of Ag2PbI.

a = 4.3949 Å, b = 7.1282 Å, c = 7.9771 Å
α = 112.44°, β = 92.03°, γ = 91.10°
Last column: nearest neighbours and their distance in Å.
Fractional positions:
1 Ag 0.0000 0.0000 0.0000  2 Ag 2.79-2.81, 3 I 2.97-3.07
2 Ag 0.0250 0.4939 0.2338  4 Ag 2.85-3.07, 3 Pb 3.05-3.14, 1 I 3.05
3 Ag 0.5161 0.2234 0.1931  5 Ag 2.79-2.87, 2 Pb 2.98-3.00
4 Ag 0.5521 0.5698 0.5167  3 Ag 2.81-3.07, 1 I 2.88, 1 Pb 3.13
5 Pb 0.0351 0.2181 0.4461  6 Ag 2.98-3.29
6 Pb 0.5279 0.8132 0.2624  4 Ag 3.08-3.18, 1 I 3.27, 1 Pb 3.43
7 I 0.4697 0.9919 0.7368  3 Ag 2.88-3.07
8 I 0.8591 0.5587 0.8855  3 Ag 2.97-3.22, 1 Pb 3.27

Values from the calculation:
Fermi-level density of states, states/eV per atom: 0.24
Crystal system: triclinic
Size of the total moment, μB/cell: 0.00
Uncorrected formation energy, eV/f.u.: -0.02
Volume, Å³/cell: 231
Energy above the lowest structure with this stoichiometry, meV per atom: 54.8

***

The following is a DFT calculation (PBE) of a relaxed structure of Ag2PbI.

a = 3.7461 Å, b = 3.7461 Å, c = 7.5191 Å
α = 90.00°, β = 90.52°, γ = 90.00°
Last column: nearest neighbours and their distance in Å.
Fractional positions:
1 Ag 0.0000 0.0000 0.0000  4 Ag 2.94, 1 Pb 3.07, 4 I 3.19-3.26
2 Ag 0.4978 0.5000 0.8304  4 Ag 2.94, 1 I 3.12, 4 Pb 3.20
3 Pb 0.9918 0.0000 0.5914  5 Ag 3.07-3.20
4 I 0.4888 0.5000 0.2452  5 Ag 3.12-3.26

Values from the calculation:
Fermi-level density of states, states/eV per atom: 0.43
Crystal system: monoclinic
Size of the total moment, μB/cell: 0.00
Uncorrected formation energy, eV/f.u.: 0.19
Volume, Å³/cell: 106
Energy above the lowest structure with this stoichiometry, meV per atom: 107.0

***

The following is a DFT calculation (PBE) of a relaxed structure of Ag2PbI.

a = 6.3047 Å, b = 4.5015 Å, c = 8.2438 Å
α = 90.00°, β = 109.75°, γ = 90.00°
Last column: nearest neighbours and their distance in Å.
Fractional positions:
1 Ag 0.1427 0.2500 0.0088  5 Ag 2.85-2.96, 3 Pb 3.07-3.15
2 Ag 0.3282 0.7500 0.2324  3 Ag 2.89-2.96, 3 I 3.01-3.23, 1 Pb 3.22
3 Ag 0.6718 0.2500 0.7676  3 Ag 2.89-2.96, 3 I 3.01-3.23, 1 Pb 3.22
4 Ag 0.8573 0.7500 0.9912  5 Ag 2.85-2.96, 3 Pb 3.07-3.15
5 Pb 0.3276 0.7500 0.8412  6 Ag 3.07-3.32, 1 I 3.43
6 Pb 0.6724 0.2500 0.1588  6 Ag 3.07-3.32, 1 I 3.43
7 I 0.2197 0.2500 0.4331  4 Ag 3.01-3.37
8 I 0.7803 0.7500 0.5669  4 Ag 3.01-3.37

Values from the calculation:
Fermi-level density of states, states/eV per atom: 0.26
Crystal system: monoclinic
Size of the total moment, μB/cell: 0.00
Uncorrected formation energy, eV/f.u.: -0.09
Volume, Å³/cell: 220
Energy above the lowest structure with this stoichiometry, meV per atom: 35.8

***

The following is a DFT calculation (PBE) of a relaxed structure of Ag2PbI.

a = 6.6389 Å, b = 6.6389 Å, c = 6.6389 Å
α = 104.63°, β = 104.63°, γ = 119.65°
Last column: nearest neighbours and their distance in Å.
Fractional positions:
1 Ag 0.1200 0.6250 0.9950  2 Pb 2.96, 2 I 3.02
2 Ag 0.3750 0.3700 0.4950  2 Pb 2.96, 2 I 3.02
3 Ag 0.6300 0.1250 0.0050  2 Pb 2.96, 2 I 3.02
4 Ag 0.8750 0.8800 0.5050  2 Pb 2.96, 2 I 3.02
5 Pb 0.0000 0.0000 0.0000  4 Ag 2.96
6 Pb 0.7500 0.2500 0.5000  4 Ag 2.96
7 I 0.2500 0.7500 0.5000  4 Ag 3.02, 2 Pb 3.34
8 I 0.5000 0.5000 0.0000  4 Ag 3.02, 2 Pb 3.34

Values from the calculation:
Fermi-level density of states, states/eV per atom: 0.34
Crystal system: tetragonal
Size of the total moment, μB/cell: 0.00
Uncorrected formation energy, eV/f.u.: 0.61
Volume, Å³/cell: 220
Energy above the lowest structure with this stoichiometry, meV per atom: 212.9

***

The following is a DFT calculation (PBE) of a relaxed structure of Ag2Pb3I8.

a = 9.3158 Å, b = 9.3158 Å, c = 8.0434 Å
α = 106.93°, β = 106.93°, γ = 59.97°
Last column: nearest neighbours and their distance in Å.
Fractional positions:
1 Ag 0.1018 0.1018 0.0644  3 I 2.79, 1 Ag 3.09
2 Ag 0.8982 0.8982 0.9356  3 I 2.79, 1 Ag 3.09
3 Pb 0.2481 0.7519 0.5000  6 I 3.26-3.29
4 Pb 0.5000 0.5000 0.0000  6 I 3.27
5 Pb 0.7519 0.2481 0.5000  6 I 3.26-3.29
6 I 0.1276 0.1276 0.7389  1 Ag 2.79
7 I 0.1307 0.6187 0.7453  1 Ag 2.79
8 I 0.3768 0.3768 0.2507  3 Pb 3.27-3.29
9 I 0.3813 0.8693 0.2547  1 Ag 2.79
10 I 0.6187 0.1307 0.7453  1 Ag 2.79
11 I 0.6232 0.6232 0.7493  3 Pb 3.27-3.29
12 I 0.8693 0.3813 0.2547  1 Ag 2.79
13 I 0.8724 0.8724 0.2611  1 Ag 2.79

Values from the calculation:
Fermi-level density of states, states/eV per atom: 0.00
Crystal system: monoclinic
Size of the total moment, μB/cell: 0.00
Uncorrected formation energy, eV/f.u.: -6.67
Volume, Å³/cell: 569